The following is a DFT calculation (PBE) of a relaxed structure of CsVHgCl6.

a = 6.796 Å, b = 6.796 Å, c = 7.619 Å
α = 90.00°, β = 90.00°, γ = 120.00°
Fractional positions:
Cs1 0.000 0.000 0.000
V1 0.333 0.667 0.500
Hg1 0.667 0.333 0.500
Cl1 0.038 0.392 0.683
Cl2 0.038 0.646 0.317
Cl3 0.354 0.392 0.317
Cl4 0.354 0.962 0.683
Cl5 0.608 0.646 0.683
Cl6 0.608 0.962 0.317

* magnetic moment: 2.00 μB/cell
* formation energy from raw total energies: -1.20 eV per atom
* Fermi-level density of states: 8.0 states/eV/cell

---

The following is a DFT calculation (PBE) of a relaxed structure of Cs2VHgCl6.

a = 7.872 Å, b = 7.872 Å, c = 7.877 Å
α = 119.94°, β = 119.94°, γ = 89.98°
Fractional positions:
Cs1 0.250 0.750 0.000
Cs2 0.750 0.250 0.000
V1 0.000 0.000 0.500
Hg1 0.500 0.500 0.500
Cl1 0.209 0.209 0.919
Cl2 0.210 0.210 0.500
Cl3 0.210 0.790 0.500
Cl4 0.790 0.210 0.500
Cl5 0.790 0.790 0.500
Cl6 0.791 0.791 0.081

* magnetic moment: 1.08 μB/cell
* formation energy from raw total energies: -1.37 eV per atom
* Fermi-level density of states: 10.8 states/eV/cell

---

The following is a DFT calculation (PBE) of a relaxed structure of CsV2HgCl8.

a = 10.674 Å, b = 10.674 Å, c = 10.674 Å
α = 40.93°, β = 40.93°, γ = 40.93°
Fractional positions:
Cs1 0.000 0.000 0.000
V1 0.261 0.261 0.261
V2 0.739 0.739 0.739
Hg1 0.500 0.500 0.500
Cl1 0.059 0.555 0.095
Cl2 0.095 0.059 0.555
Cl3 0.336 0.336 0.336
Cl4 0.445 0.905 0.941
Cl5 0.555 0.095 0.059
Cl6 0.664 0.664 0.664
Cl7 0.905 0.941 0.445
Cl8 0.941 0.445 0.905

* magnetic moment: 3.00 μB/cell
* formation energy from raw total energies: -1.22 eV per atom
* Fermi-level density of states: 15.4 states/eV/cell

---

The following is a DFT calculation (PBE) of a relaxed structure of CsVHg2Cl.

a = 7.470 Å, b = 7.470 Å, c = 6.285 Å
α = 90.00°, β = 90.00°, γ = 90.00°
Fractional positions:
Cs1 0.000 0.000 0.000
V1 0.500 0.500 0.500
Hg1 0.000 0.500 0.000
Hg2 0.500 0.000 0.000
Cl1 0.000 0.000 0.500

* magnetic moment: 4.89 μB/cell
* formation energy from raw total energies: 0.48 eV per atom
* Fermi-level density of states: 38.8 states/eV/cell

---

The following is a DFT calculation (PBE) of a relaxed structure of Cs2YHgCl6.

a = 7.935 Å, b = 7.935 Å, c = 7.935 Å
α = 60.00°, β = 60.00°, γ = 60.00°
Fractional positions:
Cs1 0.250 0.250 0.250
Cs2 0.750 0.750 0.750
Y1 0.000 0.000 0.000
Hg1 0.500 0.500 0.500
Cl1 0.236 0.236 0.764
Cl2 0.236 0.764 0.236
Cl3 0.236 0.764 0.764
Cl4 0.764 0.236 0.236
Cl5 0.764 0.236 0.764
Cl6 0.764 0.764 0.236

* magnetic moment: 0.00 μB/cell
* formation energy from raw total energies: -1.77 eV per atom
* Fermi-level density of states: 4.7 states/eV/cell

---

The following is a DFT calculation (PBE) of a relaxed structure of CsZn2HgCl8.

a = 10.531 Å, b = 10.531 Å, c = 10.531 Å
α = 35.78°, β = 35.78°, γ = 35.78°
Fractional positions:
Cs1 0.000 0.000 0.000
Zn1 0.242 0.242 0.242
Zn2 0.758 0.758 0.758
Hg1 0.500 0.500 0.500
Cl1 0.118 0.437 0.784
Cl2 0.216 0.882 0.563
Cl3 0.319 0.319 0.319
Cl4 0.437 0.784 0.118
Cl5 0.563 0.216 0.882
Cl6 0.681 0.681 0.681
Cl7 0.784 0.118 0.437
Cl8 0.882 0.563 0.216

* magnetic moment: 0.72 μB/cell
* formation energy from raw total energies: -0.98 eV per atom
* Fermi-level density of states: 18.8 states/eV/cell

---

The following is a DFT calculation (PBE) of a relaxed structure of Cs2Zn2HgCl6.

a = 6.674 Å, b = 8.570 Å, c = 9.085 Å
α = 100.66°, β = 101.68°, γ = 108.26°
Fractional positions:
Cs1 0.072 0.290 0.245
Cs2 0.928 0.710 0.755
Zn1 0.310 0.389 0.840
Zn2 0.690 0.611 0.160
Hg1 0.500 0.000 0.500
Cl1 0.058 0.145 0.833
Cl2 0.303 0.513 0.644
Cl3 0.330 0.603 0.061
Cl4 0.670 0.397 0.939
Cl5 0.697 0.487 0.356
Cl6 0.942 0.855 0.167

* magnetic moment: 0.00 μB/cell
* formation energy from raw total energies: -1.38 eV per atom
* Fermi-level density of states: 0.0 states/eV/cell

---

The following is a DFT calculation (PBE) of a relaxed structure of CsZnHgCl5.

a = 7.789 Å, b = 7.789 Å, c = 9.371 Å
α = 102.61°, β = 102.61°, γ = 106.67°
Fractional positions:
Cs1 0.143 0.857 0.750
Cs2 0.857 0.143 0.250
Zn1 0.194 0.806 0.250
Zn2 0.806 0.194 0.750
Hg1 0.500 0.500 0.000
Hg2 0.500 0.500 0.500
Cl1 0.091 0.271 0.929
Cl2 0.192 0.592 0.388
Cl3 0.271 0.091 0.429
Cl4 0.408 0.808 0.112
Cl5 0.423 0.577 0.750
Cl6 0.577 0.423 0.250
Cl7 0.592 0.192 0.888
Cl8 0.729 0.909 0.571
Cl9 0.808 0.408 0.612
Cl10 0.909 0.729 0.071

* magnetic moment: 0.00 μB/cell
* formation energy from raw total energies: -1.16 eV per atom
* Fermi-level density of states: 0.0 states/eV/cell

---

The following is a DFT calculation (PBE) of a relaxed structure of Cs2ZnHgCl.

a = 6.636 Å, b = 6.636 Å, c = 6.303 Å
α = 90.00°, β = 90.00°, γ = 90.00°
Fractional positions:
Cs1 0.000 0.500 0.000
Cs2 0.500 0.000 0.000
Zn1 0.000 0.000 0.500
Hg1 0.500 0.500 0.500
Cl1 0.000 0.000 0.000

* magnetic moment: 0.00 μB/cell
* formation energy from raw total energies: -0.54 eV per atom
* Fermi-level density of states: 4.4 states/eV/cell

---

The following is a DFT calculation (PBE) of a relaxed structure of Cs2ZnHgCl6.

a = 7.579 Å, b = 7.579 Å, c = 7.579 Å
α = 119.89°, β = 119.89°, γ = 90.19°
Fractional positions:
Cs1 0.250 0.750 0.500
Cs2 0.750 0.250 0.500
Zn1 0.000 0.000 0.000
Hg1 0.500 0.500 0.000
Cl1 0.222 0.222 0.444
Cl2 0.222 0.778 0.000
Cl3 0.276 0.276 0.000
Cl4 0.724 0.724 0.000
Cl5 0.778 0.222 0.000
Cl6 0.778 0.778 0.556

* magnetic moment: 0.00 μB/cell
* formation energy from raw total energies: -1.32 eV per atom
* Fermi-level density of states: 0.0 states/eV/cell

---

What did the fifth record say?
The following is a DFT calculation (PBE) of a relaxed structure of Cs2YHgCl6.

a = 7.935 Å, b = 7.935 Å, c = 7.935 Å
α = 60.00°, β = 60.00°, γ = 60.00°
Fractional positions:
Cs1 0.250 0.250 0.250
Cs2 0.750 0.750 0.750
Y1 0.000 0.000 0.000
Hg1 0.500 0.500 0.500
Cl1 0.236 0.236 0.764
Cl2 0.236 0.764 0.236
Cl3 0.236 0.764 0.764
Cl4 0.764 0.236 0.236
Cl5 0.764 0.236 0.764
Cl6 0.764 0.764 0.236

* magnetic moment: 0.00 μB/cell
* formation energy from raw total energies: -1.77 eV per atom
* Fermi-level density of states: 4.7 states/eV/cell